<one>
Compound: Ca2NdMg
Source: Alexandria via LeMat-Bulk
Functional: PBE
Structure: optimized geometry

Cell: 5.7873 5.7873 5.7873 Å, 60.00 60.00 60.00°
Last column: nearest neighbours and their distance in Å.
Sites, in units of the cell vectors:
Ca  0.7500  0.7500  0.7500  4 Mg 3.54, 4 Nd 3.54
Mg  0.5000  0.5000  0.5000  8 Ca 3.54
Nd  0.0000  0.0000  0.0000  8 Ca 3.54
Ca  0.2500  0.2500  0.2500  4 Nd 3.54, 4 Mg 3.54



<two>
Compound: Ca2NdMg
Source: Alexandria via LeMat-Bulk
Functional: PBE
Structure: optimized geometry

Cell: 5.4689 5.0362 5.0362 Å, 90.00 90.00 90.00°
Last column: nearest neighbours and their distance in Å.
Sites, in units of the cell vectors:
Ca  0.0000  0.5000  0.0000  4 Ca 3.56, 4 Nd 3.72, 4 Mg 3.72
Mg  0.5000  0.0000  0.0000  4 Nd 3.56, 8 Ca 3.72
Ca  0.0000  0.0000  0.5000  4 Ca 3.56, 4 Nd 3.72, 4 Mg 3.72
Nd  0.5000  0.5000  0.5000  4 Mg 3.56, 8 Ca 3.72



Stability, descending: <two>, <one>



<one>
Compound: CaNd2Mg4
Source: Alexandria via LeMat-Bulk
Functional: PBE
Structure: optimized geometry

Cell: 5.4662 5.4662 8.4799 Å, 71.20 71.20 60.00°
Last column: nearest neighbours and their distance in Å.
Sites, in units of the cell vectors:
Ca  0.0000  0.0000  0.0000  2 Mg 3.24, 6 Nd 3.39
Mg  0.1373  0.1373  0.5880  1 Ca 3.24, 6 Mg 3.30-3.45, 1 Nd 3.39
Nd  0.7190  0.7190  0.8429  5 Mg 3.33-3.53, 3 Ca 3.39
Mg  0.5697  0.5697  0.2909  4 Mg 3.29-3.30, 4 Nd 3.33-3.53
Mg  0.4303  0.4303  0.7091  4 Mg 3.29-3.30, 4 Nd 3.33-3.53
Mg  0.8627  0.8627  0.4120  1 Ca 3.24, 6 Mg 3.30-3.45, 1 Nd 3.39
Nd  0.2810  0.2810  0.1571  5 Mg 3.33-3.53, 3 Ca 3.39



<two>
Compound: CaNd2Mg4
Source: Alexandria via LeMat-Bulk
Functional: PBE
Structure: optimized geometry

Cell: 5.6312 5.6312 9.1362 Å, 107.95 107.95 90.00°
Last column: nearest neighbours and their distance in Å.
Sites, in units of the cell vectors:
Nd  0.6067  0.6067  0.2134  5 Mg 3.32-3.35, 1 Nd 3.51
Mg  0.8103  0.8103  0.6207  1 Ca 3.12, 1 Nd 3.35
Ca  0.0000  0.0000  0.0000  6 Mg 2.82-3.12
Mg  0.0000  0.5000  0.0000  2 Ca 2.82
Mg  0.5000  0.0000  0.0000  2 Ca 2.82
Mg  0.1897  0.1897  0.3793  1 Ca 3.12, 1 Nd 3.35
Nd  0.3933  0.3933  0.7866  5 Mg 3.32-3.35, 1 Nd 3.51



Stability, descending: <one>, <two>



<one>
Compound: CaPmNdMg
Source: Alexandria via LeMat-Bulk
Functional: PBE
Structure: optimized geometry

Cell: 3.6837 3.6837 9.8468 Å, 90.00 90.00 90.00°
Last column: nearest neighbours and their distance in Å.
Sites, in units of the cell vectors:
Mg  0.5000  0.5000  0.3293  4 Pm 3.41, 4 Ca 3.46, 4 Mg 3.68
Nd  0.5000  0.5000  0.8055  4 Pm 3.60, 4 Nd 3.68, 4 Ca 3.88
Ca  0.0000  0.0000  0.0975  4 Mg 3.46, 4 Ca 3.68
Pm  0.0000  0.0000  0.5524  4 Mg 3.41, 4 Nd 3.60, 4 Pm 3.68



<two>
Compound: CaPmNdMg
Source: Alexandria via LeMat-Bulk
Functional: PBE
Structure: optimized geometry

Cell: 5.6920 5.6920 5.6920 Å, 60.00 60.00 60.00°
Last column: nearest neighbours and their distance in Å.
Sites, in units of the cell vectors:
Ca  0.5000  0.5000  0.5000  4 Nd 3.49, 4 Pm 3.49
Mg  0.0000  0.0000  0.0000  4 Pm 3.49, 4 Nd 3.49
Pm  0.7500  0.7500  0.7500  4 Ca 3.49, 4 Mg 3.49
Nd  0.2500  0.2500  0.2500  4 Mg 3.49, 4 Ca 3.49



Stability, descending: <one>, <two>



<one>
Compound: CaTbNdMg
Source: Alexandria via LeMat-Bulk
Functional: PBE
Structure: optimized geometry

Cell: 3.6532 3.6532 9.7832 Å, 90.00 90.00 90.00°
Last column: nearest neighbours and their distance in Å.
Sites, in units of the cell vectors:
Tb  0.0000  0.0000  0.5516  4 Mg 3.35, 4 Nd 3.56, 4 Tb 3.65
Mg  0.5000  0.5000  0.3334  4 Tb 3.35, 4 Ca 3.46, 4 Mg 3.65
Ca  0.0000  0.0000  0.0978  4 Mg 3.46, 4 Ca 3.65
Nd  0.5000  0.5000  0.8019  4 Tb 3.56, 4 Nd 3.65, 4 Ca 3.88



<two>
Compound: CaTbNdMg
Source: Alexandria via LeMat-Bulk
Functional: PBE
Structure: optimized geometry

Cell: 5.6487 5.6487 5.6487 Å, 60.00 60.00 60.00°
Last column: nearest neighbours and their distance in Å.
Sites, in units of the cell vectors:
Ca  0.2500  0.2500  0.2500  4 Tb 3.46, 4 Nd 3.46
Mg  0.7500  0.7500  0.7500  4 Nd 3.46, 4 Tb 3.46
Tb  0.5000  0.5000  0.5000  4 Mg 3.46, 4 Ca 3.46
Nd  0.0000  0.0000  0.0000  4 Ca 3.46, 4 Mg 3.46



Stability, descending: <one>, <two>



<one>
Compound: CaNdYMg
Source: Alexandria via LeMat-Bulk
Functional: PBE
Structure: optimized geometry

Cell: 3.6561 3.6561 9.7803 Å, 90.00 90.00 90.00°
Last column: nearest neighbours and their distance in Å.
Sites, in units of the cell vectors:
Ca  0.0000  0.0000  0.0983  4 Mg 3.46, 4 Ca 3.66
Nd  0.5000  0.5000  0.8027  4 Y 3.58, 4 Nd 3.66, 4 Ca 3.88
Y  0.0000  0.0000  0.5501  4 Mg 3.34, 4 Nd 3.58, 4 Y 3.66
Mg  0.5000  0.5000  0.3336  4 Y 3.34, 4 Ca 3.46, 4 Mg 3.66



<two>
Compound: CaNdYMg
Source: Alexandria via LeMat-Bulk
Functional: PBE
Structure: optimized geometry

Cell: 5.6509 5.6509 5.6509 Å, 60.00 60.00 60.00°
Last column: nearest neighbours and their distance in Å.
Sites, in units of the cell vectors:
Mg  0.7500  0.7500  0.7500  4 Nd 3.46, 4 Y 3.46
Y  0.0000  0.0000  0.0000  4 Ca 3.46, 4 Mg 3.46
Ca  0.2500  0.2500  0.2500  4 Nd 3.46, 4 Y 3.46
Nd  0.5000  0.5000  0.5000  4 Mg 3.46, 4 Ca 3.46



Stability, descending: <one>, <two>



<one>
Compound: CaNdMgZn
Source: Alexandria via LeMat-Bulk
Functional: PBE
Structure: optimized geometry

Cell: 3.7471 3.7471 7.8813 Å, 90.00 90.00 90.00°
Last column: nearest neighbours and their distance in Å.
Sites, in units of the cell vectors:
Zn  0.5000  0.5000  0.1138  4 Nd 3.15, 4 Ca 3.22
Ca  0.0000  0.0000  0.8809  4 Zn 3.22, 4 Mg 3.44, 1 Nd 3.54
Mg  0.5000  0.5000  0.6030  4 Nd 3.41, 4 Ca 3.44, 4 Mg 3.75
Nd  0.0000  0.0000  0.3302  4 Zn 3.15, 4 Mg 3.41



<two>
Compound: CaNdMgZn
Source: Alexandria via LeMat-Bulk
Functional: PBE
Structure: optimized geometry

Cell: 5.3642 5.3642 5.3642 Å, 60.00 60.00 60.00°
Last column: nearest neighbours and their distance in Å.
Sites, in units of the cell vectors:
Zn  0.0000  0.0000  0.0000  4 Nd 3.28, 4 Ca 3.28
Mg  0.5000  0.5000  0.5000  4 Ca 3.28, 4 Nd 3.28
Ca  0.2500  0.2500  0.2500  4 Zn 3.28, 4 Mg 3.28
Nd  0.7500  0.7500  0.7500  4 Mg 3.28, 4 Zn 3.28



Stability, descending: <one>, <two>



<one>
Compound: CaMg3Ni
Source: Alexandria via LeMat-Bulk
Functional: PBE
Structure: optimized geometry

Cell: 4.9279 4.9279 4.9279 Å, 90.00 90.00 90.00°
Last column: nearest neighbours and their distance in Å.
Sites, in units of the cell vectors:
Mg  0.5000  0.0000  0.0000  2 Ni 2.46
Mg  0.0000  0.5000  0.0000  2 Ni 2.46
Ni  0.0000  0.0000  0.0000  6 Mg 2.46
Ca  0.5000  0.5000  0.5000  12 Mg 3.48
Mg  0.0000  0.0000  0.5000  2 Ni 2.46



<two>
Compound: CaMg3Ni
Source: Alexandria via LeMat-Bulk
Functional: PBE
Structure: optimized geometry

Cell: 5.8753 5.8753 5.8753 Å, 90.00 90.00 90.00°
Last column: nearest neighbours and their distance in Å.
Sites, in units of the cell vectors:
Mg  0.5000  0.0000  0.0000  2 Ca 2.94
Mg  0.0000  0.5000  0.0000  2 Ca 2.94
Mg  0.0000  0.0000  0.5000  2 Ca 2.94
Ni  0.5000  0.5000  0.5000  12 Mg 4.15
Ca  0.0000  0.0000  0.0000  6 Mg 2.94



Stability, descending: <one>, <two>



<one>
Compound: CaMg2Ni2
Source: Alexandria via LeMat-Bulk
Functional: PBE
Structure: optimized geometry

Cell: 4.1585 4.1585 6.2983 Å, 70.72 70.72 90.00°
Last column: nearest neighbours and their distance in Å.
Sites, in units of the cell vectors:
Ni  0.6027  0.6027  0.7946  1 Ni 2.29
Mg  0.2500  0.7500  0.5000  4 Ni 2.65, 4 Mg 2.94
Ca  0.0000  0.0000  0.0000  8 Ni 3.16, 8 Mg 3.48
Ni  0.3973  0.3973  0.2054  1 Ni 2.29
Mg  0.7500  0.2500  0.5000  4 Ni 2.65, 4 Mg 2.94



<two>
Compound: CaMg2Ni2
Source: Alexandria via LeMat-Bulk
Functional: PBE
Structure: optimized geometry

Cell: 7.7399 7.7399 2.9344 Å, 90.00 90.00 90.00°
Last column: nearest neighbours and their distance in Å.
Sites, in units of the cell vectors:
Ca  0.5000  0.5000  0.0000  2 Ca 2.93, 4 Mg 3.05, 8 Ni 3.23
Ca  0.0000  0.0000  0.0000  2 Ca 2.93, 4 Mg 3.05, 8 Ni 3.23
Mg  0.8727  0.6273  0.0000  6 Ni 2.67-2.74, 3 Mg 2.79-2.93
Mg  0.6273  0.1273  0.0000  6 Ni 2.67-2.74, 3 Mg 2.79-2.93
Ni  0.6687  0.8313  0.5000  6 Mg 2.67-2.74, 2 Ni 2.93
Mg  0.3727  0.8727  0.0000  6 Ni 2.67-2.74, 3 Mg 2.79-2.93
Ni  0.1687  0.6687  0.5000  6 Mg 2.67-2.74, 2 Ni 2.93
Ni  0.8313  0.3313  0.5000  6 Mg 2.67-2.74, 2 Ni 2.93
Ni  0.3313  0.1687  0.5000  6 Mg 2.67-2.74, 2 Ni 2.93
Mg  0.1273  0.3727  0.0000  6 Ni 2.67-2.74, 3 Mg 2.79-2.93



Stability, descending: <one>, <two>



<one>
Compound: Ca3MgNi
Source: Alexandria via LeMat-Bulk
Functional: PBE
Structure: optimized geometry

Cell: 5.4352 5.4352 5.4352 Å, 90.00 90.00 90.00°
Last column: nearest neighbours and their distance in Å.
Sites, in units of the cell vectors:
Ca  0.5000  0.0000  0.0000  2 Ni 2.72
Mg  0.5000  0.5000  0.5000  12 Ca 3.84
Ni  0.0000  0.0000  0.0000  6 Ca 2.72
Ca  0.0000  0.0000  0.5000  2 Ni 2.72
Ca  0.0000  0.5000  0.0000  2 Ni 2.72



<two>
Compound: Ca3MgNi
Source: Alexandria via LeMat-Bulk
Functional: PBE
Structure: optimized geometry

Cell: 3.9648 8.6538 9.6217 Å, 99.86 102.08 103.22°
Last column: nearest neighbours and their distance in Å.
Sites, in units of the cell vectors:
Ca  0.5916  0.5032  0.7573  3 Ni 2.89-2.91
Ca  0.5379  0.7170  0.4392  3 Ni 2.90-2.96
Mg  0.0939  0.9819  0.2837  1 Mg 3.41, 8 Ca 3.44-3.62
Ca  0.8266  0.3258  0.4062  3 Mg 3.48-3.62, 1 Ni 3.53, 4 Ca 3.79-3.85
Ca  0.3174  0.0508  0.6642  3 Ni 2.89-2.91
Ca  0.3711  0.8371  0.9824  3 Ni 2.90-2.96
Ni  0.1445  0.7054  0.6624  2 Ni 2.39
Ni  0.7645  0.8486  0.7591  2 Ni 2.39
Mg  0.8151  0.5722  0.1379  1 Mg 3.41, 8 Ca 3.44-3.62
Ca  0.0825  0.2283  0.0154  3 Mg 3.48-3.62, 1 Ni 3.53, 4 Ca 3.79-3.85



Stability, descending: <two>, <one>



<one>
Compound: SrCaMg2Ni
Source: Alexandria via LeMat-Bulk
Functional: PBE
Structure: optimized geometry

Cell: 5.1774 5.1774 5.2544 Å, 90.00 90.00 90.00°
Last column: nearest neighbours and their distance in Å.
Sites, in units of the cell vectors:
Ca  0.0000  0.0000  0.5000  2 Ni 2.63
Sr  0.5000  0.5000  0.5000  4 Ca 3.66, 8 Mg 3.69
Mg  0.0000  0.5000  0.0000  2 Ni 2.59
Mg  0.5000  0.0000  0.0000  2 Ni 2.59
Ni  0.0000  0.0000  0.0000  4 Mg 2.59, 2 Ca 2.63



<two>
Compound: SrCaMg2Ni
Source: Alexandria via LeMat-Bulk
Functional: PBE
Structure: optimized geometry

Cell: 5.1671 5.1671 5.4176 Å, 90.00 90.00 90.00°
Last column: nearest neighbours and their distance in Å.
Sites, in units of the cell vectors:
Mg  0.5000  0.0000  0.0000  2 Ni 2.58
Ca  0.5000  0.5000  0.5000  4 Sr 3.65, 8 Mg 3.74
Mg  0.0000  0.5000  0.0000  2 Ni 2.58
Ni  0.0000  0.0000  0.0000  4 Mg 2.58, 2 Sr 2.71
Sr  0.0000  0.0000  0.5000  2 Ni 2.71



Stability, descending: <one>, <two>



<one>
Compound: Ca2MgTlNi
Source: Alexandria via LeMat-Bulk
Functional: PBE
Structure: optimized geometry

Cell: 5.3684 5.3684 4.9271 Å, 90.00 90.00 90.00°
Last column: nearest neighbours and their distance in Å.
Sites, in units of the cell vectors:
Ca  0.0000  0.5000  0.0000  2 Ni 2.68
Mg  0.0000  0.0000  0.5000  2 Ni 2.46
Ca  0.5000  0.0000  0.0000  2 Ni 2.68
Tl  0.5000  0.5000  0.5000  8 Ca 3.64, 4 Mg 3.80
Ni  0.0000  0.0000  0.0000  2 Mg 2.46, 4 Ca 2.68



<two>
Compound: Ca2MgTlNi
Source: Alexandria via LeMat-Bulk
Functional: PBE
Structure: optimized geometry

Cell: 5.3666 5.3666 5.0203 Å, 90.00 90.00 90.00°
Last column: nearest neighbours and their distance in Å.
Sites, in units of the cell vectors:
Tl  0.0000  0.0000  0.5000  2 Ni 2.51
Ca  0.0000  0.5000  0.0000  2 Ni 2.68
Ca  0.5000  0.0000  0.0000  2 Ni 2.68
Ni  0.0000  0.0000  0.0000  2 Tl 2.51, 4 Ca 2.68
Mg  0.5000  0.5000  0.5000  8 Ca 3.67, 4 Tl 3.79



Stability, descending: <one>, <two>



<one>
Compound: CaMg2TlNi
Source: Alexandria via LeMat-Bulk
Functional: PBE
Structure: optimized geometry

Cell: 4.9198 4.9198 5.0382 Å, 90.00 90.00 90.00°
Last column: nearest neighbours and their distance in Å.
Sites, in units of the cell vectors:
Tl  0.0000  0.0000  0.5000  2 Ni 2.52
Ca  0.5000  0.5000  0.5000  4 Tl 3.48, 8 Mg 3.52
Mg  0.0000  0.5000  0.0000  2 Ni 2.46
Mg  0.5000  0.0000  0.0000  2 Ni 2.46
Ni  0.0000  0.0000  0.0000  4 Mg 2.46, 2 Tl 2.52



<two>
Compound: CaMg2TlNi
Source: Alexandria via LeMat-Bulk
Functional: PBE
Structure: optimized geometry

Cell: 4.9594 4.9594 5.2223 Å, 90.00 90.00 90.00°
Last column: nearest neighbours and their distance in Å.
Sites, in units of the cell vectors:
Tl  0.5000  0.5000  0.5000  4 Ca 3.51, 8 Mg 3.60
Mg  0.5000  0.0000  0.0000  2 Ni 2.48
Ca  0.0000  0.0000  0.5000  2 Ni 2.61
Ni  0.0000  0.0000  0.0000  4 Mg 2.48, 2 Ca 2.61
Mg  0.0000  0.5000  0.0000  2 Ni 2.48



Stability, descending: <one>, <two>



<one>
Compound: Ca2MgO
Source: Alexandria via LeMat-Bulk
Functional: PBE
Structure: optimized geometry

Cell: 6.9545 6.9545 6.7413 Å, 58.95 58.95 90.00°
Last column: nearest neighbours and their distance in Å.
Sites, in units of the cell vectors:
Ca  0.8750  0.7321  0.7500  2 O 2.22
Ca  0.3750  0.5179  0.7500  2 O 2.22
O  0.2500  0.7500  0.5000  4 Ca 2.22
Mg  0.0000  0.0000  0.0000  4 Ca 3.44
O  0.5000  0.5000  0.0000  4 Ca 2.22
Ca  0.2679  0.6250  0.2500  2 O 2.22
Mg  0.7500  0.2500  0.5000  4 Ca 3.44
Ca  0.4821  0.1250  0.2500  2 O 2.22



<two>
Compound: Ca2MgO
Source: Alexandria via LeMat-Bulk
Functional: PBE
Structure: optimized geometry

Cell: 3.4478 3.4478 9.4578 Å, 79.50 79.50 60.00°
Last column: nearest neighbours and their distance in Å.
Sites, in units of the cell vectors:
Ca  0.8835  0.8835  0.3494  3 O 2.43
O  0.5000  0.5000  0.5000  6 Ca 2.43
Ca  0.1165  0.1165  0.6506  3 O 2.43
Mg  0.0000  0.0000  0.0000  2 Ca 3.23, 6 Mg 3.45



<three>
Compound: Ca2MgO
Source: Alexandria via LeMat-Bulk
Functional: PBE
Structure: optimized geometry

Cell: 5.1551 5.1551 5.1551 Å, 60.00 60.00 60.00°
Last column: nearest neighbours and their distance in Å.
Sites, in units of the cell vectors:
Mg  0.5000  0.5000  0.5000  8 Ca 3.16
Ca  0.7500  0.7500  0.7500  4 O 3.16, 4 Mg 3.16
O  0.0000  0.0000  0.0000  8 Ca 3.16
Ca  0.2500  0.2500  0.2500  4 O 3.16, 4 Mg 3.16



Stability, descending: <one>, <two>, <three>



<one>
Compound: CaMgPO2
Source: Alexandria via LeMat-Bulk
Functional: PBE
Structure: optimized geometry

Cell: 4.0646 4.0646 5.0368 Å, 90.00 90.00 90.00°
Last column: nearest neighbours and their distance in Å.
Sites, in units of the cell vectors:
O  0.5000  0.0000  0.0000  2 Mg 2.03
P  0.0000  0.0000  0.5000  2 Mg 2.52
Ca  0.5000  0.5000  0.5000  4 P 2.87
O  0.0000  0.5000  0.0000  2 Mg 2.03
Mg  0.0000  0.0000  0.0000  4 O 2.03



<two>
Compound: CaMgPO2
Source: Alexandria via LeMat-Bulk
Functional: PBE
Structure: optimized geometry

Cell: 4.2692 4.2692 5.7591 Å, 90.00 90.00 90.00°
Last column: nearest neighbours and their distance in Å.
Sites, in units of the cell vectors:
Mg  0.5000  0.5000  0.5000  4 P 3.02
P  0.0000  0.0000  0.5000  2 Ca 2.88, 4 Mg 3.02
Ca  0.0000  0.0000  0.0000  4 O 2.13
O  0.5000  0.0000  0.0000  2 Ca 2.13
O  0.0000  0.5000  0.0000  2 Ca 2.13



Stability, descending: <one>, <two>